The following is a DFT calculation (PBE with a Hubbard U) of a relaxed structure of NaAlCr2O10.

Computed properties:
**Total DFT energy (no corrections)**: -6.22 eV/atom
**Size of the total moment**: 0.00 μB/cell
**Calculated volume**: 13.6 A^3/atom

a b c (Å): 8.533 8.533 10.156
angles (deg): 62.37 62.37 36.24
Atoms (fractional coordinates):
1 Na 0.197 0.803 0.250
2 Na 0.803 0.197 0.750
3 Al 0.500 0.000 0.000
4 Al 0.000 0.500 0.500
5 Cr 0.837 0.391 0.001
6 Cr 0.609 0.163 0.499
7 Cr 0.163 0.609 0.999
8 Cr 0.391 0.837 0.501
9 O 0.231 0.127 0.518
10 O 0.873 0.769 0.982
11 O 0.769 0.873 0.482
12 O 0.127 0.231 0.018
13 O 0.572 0.705 0.046
14 O 0.295 0.428 0.454
15 O 0.428 0.295 0.954
16 O 0.705 0.572 0.546
17 O 0.382 0.876 0.315
18 O 0.124 0.618 0.185
19 O 0.618 0.124 0.685
20 O 0.876 0.382 0.815
21 O 0.784 0.222 0.105
22 O 0.778 0.216 0.395
23 O 0.216 0.778 0.895
24 O 0.222 0.784 0.605
25 O 0.443 0.002 0.203
26 O 0.998 0.557 0.297
27 O 0.557 0.998 0.797
28 O 0.002 0.443 0.703